Record 1
First-principles (PBE) data for a geometry-optimized PmAl2Si structure, as listed in the Alexandria database.

Output
Fermi-level density of states (states/eV/f.u.): 1.584
Magnetic moment (μB/atom): 0.00
Formation energy (no corrections) (eV per atom): -0.17
Crystal system: orthorhombic
E above lowest polymorph (meV/atom): 168

Lattice parameters (Å, degrees): 4.344 4.579 4.575 101.08 90.00 90.00
Positions (direct):
Pm  0.500  0.500  0.000
Al  0.000  0.811  0.690
Al  0.000  0.189  0.310
Si  0.500  0.000  0.500



Record 2
First-principles (PBE) data for a geometry-optimized PuZnGaAu6 structure, as listed in the Alexandria database.

Output
Fermi-level density of states (states/eV/f.u.): 16.194
Magnetic moment (μB/atom): 0.62
Crystal system: orthorhombic
ΔH_f (0 K) (eV per atom): -0.16

Lattice parameters (Å, degrees): 7.455 9.108 8.003 124.68 117.76 90.00
Last column: magnetic moment on the atom in μB.
Positions (direct):
Au  0.981  0.231  0.962  -0.01
Au  0.934  0.142  0.257  0.01
Au  0.591  0.841  0.182  0.00
Au  0.678  0.858  0.743  0.01
Au  0.066  0.858  0.743  0.01
Au  0.066  0.386  0.743  0.01
Au  0.322  0.614  0.257  0.01
Au  0.409  0.159  0.818  0.00
Au  0.678  0.386  0.743  0.01
Au  0.934  0.614  0.257  0.01
Au  0.019  0.769  0.038  -0.01
Au  0.322  0.142  0.257  0.01
Ga  0.500  0.500  0.000  0.02
Ga  0.500  0.000  0.000  0.02
Pu  0.712  0.462  0.424  5.32
Pu  0.288  0.538  0.576  5.32
Zn  0.000  0.000  0.500  0.00
Zn  0.500  0.000  0.500  0.00



Record 3
First-principles (PBE) data for a geometry-optimized CaPm2Mg5 structure, as listed in the Alexandria database.

Output
Fermi-level density of states (states/eV/f.u.): 5.532
Magnetic moment (μB/atom): 0.05
Crystal system: tetragonal
ΔH_f (0 K) (eV per atom): -0.06

Lattice parameters (Å, degrees): 5.050 5.050 9.428 105.53 105.53 90.00
Last column: magnetic moment on the atom in μB.
Positions (direct):
Ca  0.000  0.000  0.000  0.00
Mg  0.880  0.380  0.760  0.00
Mg  0.620  0.120  0.240  0.00
Mg  0.380  0.880  0.760  0.00
Mg  0.120  0.620  0.240  0.00
Mg  0.500  0.500  0.000  0.00
Pm  0.259  0.259  0.517  0.11
Pm  0.741  0.741  0.483  0.11



Record 4
First-principles (PBE) data for a geometry-optimized Ti2NbZnAs structure, as listed in the Alexandria database.

Output
Fermi-level density of states (states/eV/f.u.): 4.750
Magnetic moment (μB/atom): 0.00
Crystal system: tetragonal
ΔH_f (0 K) (eV per atom): 0.97

Lattice parameters (Å, degrees): 4.740 4.947 4.740 90.00 90.00 90.00
Positions (direct):
Ti  0.500  0.000  0.000
Ti  0.000  0.000  0.500
Nb  0.000  0.000  0.000
Zn  0.000  0.500  0.000
As  0.500  0.500  0.500



> Which formula does entry 2 have?

PuZnGaAu6